Entry 1:
A relaxed structure of KRuSe2, computed with GGA-PBE.

The structure in POSCAR format:
```
KRuSe2
1.0
3.2531 0.0410 0.0000
-0.0452 3.2531 0.0000
0.0000 0.0000 7.8208
Ru K Se
1 1 2
direct
0.5000 0.5000 0.7500
0.5000 0.5000 0.2500
0.0000 0.0000 0.5623
0.0000 0.0000 0.9377
```

Calculated values
E_form (uncorrected)   -145 meV per atom
Total magnetic moment   0.09 μB per atom
Symmetry   P4/mmm, No. 123



Entry 2:
A relaxed structure of Er2Ag2RuO6, computed with GGA-PBE.

The structure in POSCAR format:
```
Er2Ag2RuO6
1.0
-3.8035 -4.2731 -0.9353
5.3962 -0.3302 -2.0911
2.3332 -4.1222 4.5084
O Er Ag Ru
6 2 2 1
direct
0.2630 0.9474 0.6694
0.9474 0.2630 0.6694
0.0526 0.7370 0.3306
0.7370 0.0526 0.3306
0.3415 0.3415 0.3487
0.6585 0.6585 0.6513
0.6640 0.3360 0.5000
0.3360 0.6640 0.5000
0.1515 0.8485 0.0000
0.8485 0.1515 0.0000
0.0000 0.0000 0.5000
```

Calculated values
E_form (uncorrected)   -1829 meV per atom
Total magnetic moment   0.18 μB per atom
Symmetry   C2/m, No. 12



DFT total energy readings, ordered: -4.480, -6.725 eV per atom